# 1
Material: Rb4Th3NiTe8
Method: DFT, PBE
State: relaxed

The uncorrected formation energy is -979 meV per atom. Its density of states at the Fermi level is 10.4 states/eV/f.u.

Cell lengths 15.8589, 8.9691, 10.0779 Å; angles 90.00, 121.79, 90.00 degrees
Last column: nearest neighbours and their distance in Å.
Space group C2/m (No. 12)
Unique sites:
Rb 0.0000 0.0000 0.0000  6 Te 3.69-3.88
Rb 0.0000 0.5000 0.0000  6 Te 3.62-3.67
Rb 0.2500 0.2500 0.0000  6 Te 3.58-3.71
Th 0.0000 0.0000 0.5000  6 Te 3.15-3.19
Th 0.2500 0.2500 0.5000  6 Te 3.13-3.19
Ni 0.0000 0.5000 0.5000  6 Te 2.89-3.13
Te 0.0156 0.2700 0.3135  1 Ni 2.89, 2 Th 3.15-3.17
Te 0.2324 0.5000 0.7013  2 Th 3.13, 1 Ni 3.13
Te 0.2364 0.0000 0.7125  3 Th 3.19


# 2
Material: Tb2HS
Method: DFT, PBE
State: relaxed

Its density of states at the Fermi level is 3.3 states/eV/f.u. The distance to the lowest polymorph of the same formula comes out at 109 meV/atom.

Cell lengths 3.7220, 3.7220, 21.1483 Å; angles 90.00, 90.00, 120.00 degrees
Last column: nearest neighbours and their distance in Å.
Space group R3m (No. 160, hexagonal axes)
Unique sites:
Tb 0.0000 0.0000 0.0000  3 H 2.22
Tb 0.0000 0.0000 0.1717  3 S 2.75
H 0.0000 0.0000 0.3592  3 Tb 2.22
S 0.0000 0.0000 0.5861  6 Tb 2.74-2.75


# 3
Material: CaSc2Ru
Method: DFT, PBE
State: relaxed

Its density of states at the Fermi level is 3.8 states/eV/f.u. The distance to the lowest polymorph of the same formula comes out at 458 meV/atom. For the formation energy from the elements, the calculation gives 0.170 eV/atom.

Cell lengths 4.1969, 4.1969, 9.6858 Å; angles 90.00, 90.00, 90.00 degrees
Last column: nearest neighbours and their distance in Å.
Space group I-4m2 (No. 119)
Unique sites:
Ca 0.0000 0.0000 0.0000  8 Sc 2.97-3.20, 4 Ru 3.20
Sc 0.0000 0.0000 0.5000  4 Ca 2.97, 4 Sc 3.20, 4 Ru 3.20
Sc 0.0000 0.5000 0.2500  4 Ru 2.97, 4 Ca 3.20, 4 Sc 3.20
Ru 0.0000 0.5000 0.7500  8 Sc 2.97-3.20, 4 Ca 3.20


# 4
Material: La8AsSe4S3
Method: DFT, PBE
State: relaxed

The uncorrected formation energy is -2023 meV per atom. Its density of states at the Fermi level is 8.5 states/eV/f.u.

Cell lengths 8.5048, 8.5048, 21.0549 Å; angles 90.00, 90.00, 120.00 degrees
Last column: nearest neighbours and their distance in Å.
Space group R-3m (No. 166, hexagonal axes)
Unique sites:
La 0.0000 0.0000 0.2437  3 S 2.94, 3 Se 3.10
La 0.0047 0.5024 0.7550  2 S 2.94, 1 As 2.99, 3 Se 3.05-3.09
As 0.0000 0.0000 0.5000  6 La 2.99
Se 0.0000 0.0000 0.0000  6 La 3.05
Se 0.0000 0.5000 0.0000  6 La 3.09-3.10
S 0.0000 0.5000 0.5000  6 La 2.94


# 5
Material: VTePdN2
Method: DFT, PBE
State: relaxed

The uncorrected formation energy is 1644 meV per atom. Its density of states at the Fermi level is 8.0 states/eV/f.u. The distance to the lowest polymorph of the same formula comes out at 1242 meV/atom.

Cell lengths 3.8657, 3.8657, 6.1406 Å; angles 90.00, 90.00, 90.00 degrees
Last column: nearest neighbours and their distance in Å.
Space group P4/mmm (No. 123)
Unique sites:
V 0.0000 0.0000 0.0000  4 Te 2.73
Te 0.5000 0.5000 0.0000  4 V 2.73
Pd 0.5000 0.5000 0.5000  4 N 1.93
N 0.0000 0.5000 0.5000  2 Pd 1.93


# 6
Material: Ba2Sn4Hg3Au
Method: DFT, PBE
State: relaxed

Its density of states at the Fermi level is 3.6 states/eV/f.u. For the formation energy from the elements, the calculation gives -0.433 eV/atom.

Cell lengths 5.0178, 5.0178, 11.8213 Å; angles 90.00, 90.00, 90.00 degrees
Last column: nearest neighbours and their distance in Å.
Space group P-4m2 (No. 115)
Unique sites:
Ba 0.0000 0.5000 0.2361  2 Au 3.75, 6 Hg 3.75-3.83, 8 Sn 3.81-4.00
Sn 0.0000 0.0000 0.5000  4 Hg 3.01
Sn 0.0000 0.5000 0.8805  3 Hg 2.83-2.88, 2 Au 2.88
Sn 0.5000 0.5000 0.5000  4 Hg 3.01
Hg 0.0000 0.0000 0.0000  4 Sn 2.88
Hg 0.0000 0.5000 0.6414  5 Sn 2.83-3.01
Au 0.5000 0.5000 0.0000  4 Sn 2.88


# 7
Material: DySc2Ag
Method: DFT, PBE
State: relaxed

Its density of states at the Fermi level is 6.5 states/eV/f.u. The distance to the lowest polymorph of the same formula comes out at 17 meV/atom. For the formation energy from the elements, the calculation gives -0.088 eV/atom.

Cell lengths 3.4745, 3.4745, 7.9903 Å; angles 90.00, 90.00, 90.00 degrees
Last column: nearest neighbours and their distance in Å.
Space group P4/mmm (No. 123)
Unique sites:
Dy 0.0000 0.0000 0.0000  8 Sc 3.38, 4 Dy 3.47
Sc 0.5000 0.5000 0.2908  4 Ag 2.97
Ag 0.0000 0.0000 0.5000  8 Sc 2.97


# 8
Material: YHg2BF
Method: DFT, PBE
State: relaxed

The uncorrected formation energy is -435 meV per atom. Its density of states at the Fermi level is 3.1 states/eV/f.u.

Cell lengths 4.3787, 4.3787, 5.3228 Å; angles 90.00, 90.00, 90.00 degrees
Last column: nearest neighbours and their distance in Å.
Space group P4/mmm (No. 123)
Unique sites:
Y 0.0000 0.0000 0.0000  2 B 2.66
Hg 0.0000 0.5000 0.5000  2 B 2.19
B 0.0000 0.0000 0.5000  4 Hg 2.19
F 0.5000 0.5000 0.0000  4 Y 3.10, 8 Hg 3.45


# 9
Material: AcPm2Ge2Pt7
Method: DFT, PBE
State: relaxed

Its density of states at the Fermi level is 6.6 states/eV/f.u. For the formation energy from the elements, the calculation gives -0.869 eV/atom.

Cell lengths 6.0368, 5.8696, 14.2054 Å; angles 90.00, 99.02, 90.00 degrees
Last column: nearest neighbours and their distance in Å.
Space group C2/m (No. 12)
Unique sites:
Ac 0.0000 0.0000 0.0000  12 Pt 2.93-3.16
Pm 0.1171 0.0000 0.3607  7 Pt 3.07-3.39, 3 Ge 3.20-3.26
Ge 0.1035 0.5000 0.2604  5 Pt 2.42-2.48
Pt 0.0000 0.5000 0.0000  4 Ac 2.93-3.02, 8 Pt 3.13-3.17
Pt 0.1248 0.5000 0.4319  1 Ge 2.42, 1 Pt 2.63
Pt 0.1830 0.2519 0.8330  2 Ge 2.48


# 10
Material: LiSm5Tl3
Method: DFT, PBE
State: relaxed

Its density of states at the Fermi level is 8.3 states/eV/f.u. For the formation energy from the elements, the calculation gives -0.272 eV/atom.

Cell lengths 9.4884, 9.4884, 6.7426 Å; angles 90.00, 90.00, 120.00 degrees
Last column: nearest neighbours and their distance in Å.
Space group P6_3/mcm (No. 193)
Unique sites:
Li 0.0000 0.0000 0.0000  2 Li 3.37, 6 Sm 3.40, 6 Tl 3.70
Sm 0.0000 0.3110 0.2500  5 Tl 3.14-3.39, 2 Li 3.40
Sm 0.3333 0.6667 0.0000  8 Sm 3.37-3.68, 6 Tl 3.53
Tl 0.0000 0.3475 0.7500  5 Sm 3.14-3.39


# 11
Material: AcBi2Pd
Method: DFT, PBE
State: relaxed

Its density of states at the Fermi level is 2.5 states/eV/f.u. The distance to the lowest polymorph of the same formula comes out at 215 meV/atom. For the formation energy from the elements, the calculation gives -0.473 eV/atom.

Cell lengths 4.9102, 4.9102, 4.7996 Å; angles 90.00, 90.00, 90.00 degrees
Last column: nearest neighbours and their distance in Å.
Space group P4/mmm (No. 123)
Unique sites:
Ac 0.0000 0.0000 0.0000  8 Bi 3.43, 4 Pd 3.47
Bi 0.0000 0.5000 0.5000  4 Ac 3.43, 4 Pd 3.43, 4 Bi 3.47
Pd 0.5000 0.5000 0.0000  8 Bi 3.43, 4 Ac 3.47


# 12
Material: Pu3S3O
Method: DFT, PBE
State: relaxed

The uncorrected formation energy is -1955 meV per atom. Its density of states at the Fermi level is 23.9 states/eV/f.u. The distance to the lowest polymorph of the same formula comes out at 0 meV/atom.

Cell lengths 7.7941, 6.9578, 10.8436 Å; angles 90.00, 99.32, 90.00 degrees
Last column: nearest neighbours and their distance in Å.
Space group P2_1/c (No. 14)
Unique sites:
Pu 0.0722 0.0646 0.3592  2 O 2.23-2.39
Pu 0.2523 0.6062 0.5070  1 O 2.31
Pu 0.3932 0.0755 0.6616  1 O 2.24
S 0.0950 0.1864 0.1161  5 Pu 2.74-2.97, 2 O 2.96-2.98
S 0.2725 0.7356 0.7744  5 Pu 2.78-3.02, 1 O 2.85
S 0.4058 0.2444 0.9168  6 Pu 2.83-2.99
O 0.1781 0.5792 0.0391  4 Pu 2.23-2.39